Here is an optimized crystal structure of CsAg2TeF8 from Alexandria. Energies are from PBE.

POSCAR file:
```
CsAg2TeF8
1.0
2.821 1.629 9.262
-2.821 1.629 9.262
0.000 -3.258 9.262
Cs Ag Te F
1 2 1 8
Direct
0.000 0.000 0.000
0.269 0.269 0.269
0.731 0.731 0.731
0.500 0.500 0.500
0.127 0.622 0.622
0.345 0.345 0.345
0.378 0.378 0.873
0.378 0.873 0.378
0.622 0.127 0.622
0.622 0.622 0.127
0.655 0.655 0.655
0.873 0.378 0.378
```

Values from the calculation:
- energy relative to the elements, uncorrected (eV per atom) = -1.729
- V (Å³ per cell) = 255.4
- space-group type = R-3m, No. 166
- M_tot (μB per cell) = 0.00